Density functional theory data (PBE) for crystalline ZnCuN2F at its relaxed geometry.

It has space group P4/mmm (No. 123), with a = 3.835 Å, b = 3.835 Å, c = 4.011 Å, α = 90.00°, β = 90.00° and γ = 90.00°. The asymmetric unit holds Zn at (0.000, 0.000, 0.000), Cu at (0.500, 0.500, 0.500), N at (0.000, 0.500, 0.000) and F at (0.000, 0.000, 0.500).

Its energy relative to the elements, uncorrected is 1.11 eV/atom. For the energy relative to the lowest polymorph listed for this composition, the calculation gives 253 meV/atom.